Record 1
The following is a DFT calculation (meta-GGA SCAN) of a PBEsol-optimized structure of SrHg2Ir.

Output
Its density of states at the Fermi level is 1.3 states/eV/f.u. For the total energy, the calculation gives -57.22 eV per atom. The formation energy comes out at 0.207 eV per atom.

extended XYZ file:
```
4
Lattice="3.3972 -0.0275 0.0000 -0.2445 5.1193 0.0000 -1.5763 -2.5459 5.0727" Properties=species:S:1:pos:R:3 pbc="T T T"
Hg -0.7882 -1.2729 2.5363
Hg 0.7882 1.2729 2.5363
Sr 1.6986 -0.0138 0.0000
Ir -0.1222 2.5596 0.0000
```

***

Record 2
The following is a DFT calculation (meta-GGA SCAN) of a PBEsol-optimized structure of TaNiN2O.

Output
Its density of states at the Fermi level is 1.4 states/eV/f.u. For the total energy, the calculation gives -21.35 eV per atom. The formation energy from raw total energies comes out at 168 meV/atom.

extended XYZ file:
```
5
Lattice="3.4843 0.0000 0.0000 0.0000 3.6341 0.0000 0.0000 0.0000 3.6341" Properties=species:S:1:pos:R:3 pbc="T T T"
O 1.7422 0.0000 0.0000
N 0.0000 0.0000 1.8170
Ni 0.0000 0.0000 0.0000
N 0.0000 1.8170 0.0000
Ta 1.7422 1.8170 1.8170
```

***

Record 3
The following is a DFT calculation (meta-GGA SCAN) of a PBEsol-optimized structure of LaMnTe2.

Output
The offset from the most stable computed form is 30 kJ/mol of formula units. Its density of states at the Fermi level is 2.3 states/eV/f.u. For the total energy, the calculation gives -34.94 eV per atom. The formation energy from raw total energies comes out at -979 meV/atom.

extended XYZ file:
```
4
Lattice="3.9138 0.0000 0.0000 0.0000 4.1421 0.0000 -1.9569 -2.0711 6.8586" Properties=species:S:1:pos:R:3 pbc="T T T"
La 1.9569 2.0711 0.7037
Te 1.9569 2.0711 6.0973
Mn 0.0000 2.0711 3.8492
Te 1.9569 0.0000 3.0669
```

***

Record 4
The following is a DFT calculation (meta-GGA SCAN) of a PBEsol-optimized structure of Tc2OsRu.

Output
The offset from the most stable computed form is 0 kJ/mol of formula units. Its density of states at the Fermi level is 3.2 states/eV/f.u. For the total energy, the calculation gives -44.31 eV per atom. The formation energy comes out at -0.107 eV per atom.

extended XYZ file:
```
4
Lattice="2.7156 0.0000 0.0000 0.0000 4.3061 0.0000 0.0000 0.0000 4.7030" Properties=species:S:1:pos:R:3 pbc="T T T"
Tc 0.0000 0.0000 0.2001
Ru 1.3578 2.1530 0.9629
Tc 0.0000 2.1530 3.3391
Os 1.3578 0.0000 2.5524
```

***

Record 5
The following is a DFT calculation (meta-GGA SCAN) of a PBEsol-optimized structure of V2FeCu3O6.

Output
Its density of states at the Fermi level is 4.4 states/eV/f.u. For the total energy, the calculation gives -12.94 eV per atom. The formation energy from raw total energies comes out at -1604 meV/atom.

extended XYZ file:
```
12
Lattice="-2.3833 1.4467 0.4401 -4.4016 -4.1724 -1.0699 -1.5972 -1.9409 6.7814" Properties=species:S:1:pos:R:3 pbc="T T T"
O -3.6551 -1.7691 4.1238
V -4.0532 -1.4578 0.9445
V -4.3290 -3.2089 5.2070
O -4.7271 -2.8975 2.0278
Cu -5.7141 -4.3321 1.3986
Cu 0.0000 0.0000 0.0000
O -2.2980 -1.5826 1.8089
Fe -2.9994 -3.0567 2.8557
Cu -2.6681 -0.3345 4.7530
O -3.4146 -2.7436 -0.4217
O -6.0842 -3.0841 4.3426
O -4.9676 -1.9230 6.5733
```

***

Record 6
The following is a DFT calculation (meta-GGA SCAN) of a PBEsol-optimized structure of Si2AsOs.

Output
Its density of states at the Fermi level is 1.0 states/eV/f.u. For the total energy, the calculation gives -27.58 eV per atom. The formation energy from raw total energies comes out at 450 meV/atom.

extended XYZ file:
```
4
Lattice="-2.0113 2.5655 2.7115 -0.6698 -4.3101 0.2659 3.7245 1.5849 1.2631" Properties=species:S:1:pos:R:3 pbc="T T T"
As 0.8566 2.0752 1.9873
Si -0.9122 0.1653 2.4823
Os 1.9557 -0.3250 1.7581
Si 0.0000 0.0000 0.0000
```

***

Record 7
The following is a DFT calculation (meta-GGA SCAN) of a PBEsol-optimized structure of CaV2P2H8O14.

Output
Its density of states at the Fermi level is 0.0 states/eV/f.u. For the total energy, the calculation gives -8.70 eV per atom.

extended XYZ file:
```
27
Lattice="6.3293 0.0256 0.0120 0.0501 6.3185 0.1590 0.4338 1.7941 6.2638" Properties=species:S:1:pos:R:3 pbc="T T T"
O 2.5833 1.2209 2.8714
H 5.2449 5.1242 1.5858
H 0.5900 2.1924 1.3427
O 5.7880 4.2278 4.8678
H 0.1331 3.5513 0.6390
O 1.2256 6.3188 4.7907
O 3.3585 4.6503 4.9972
O 1.5841 4.3139 2.9247
V 4.5494 1.3453 3.2368
O 4.2867 3.3053 3.0288
H 2.3053 1.8272 6.1779
H 2.2211 6.4063 1.6841
H 5.5685 6.9249 6.2212
P 4.5393 4.4809 4.0028
O 1.5155 2.4177 4.8650
O 4.7162 5.7050 3.0679
O 5.2505 4.5467 0.7633
P 1.3487 1.2835 3.8153
H 4.9099 1.7152 0.1507
O 4.7163 7.6272 4.9974
H 3.7108 0.7560 0.6600
O 2.5052 5.9976 0.8218
V 1.4002 4.3914 4.5278
O 6.4921 1.5439 2.8464
O 0.8383 2.7989 0.5736
O 4.3403 1.5000 0.9469
Ca 3.0009 3.6415 1.0661
```

***

Record 8
The following is a DFT calculation (meta-GGA SCAN) of a PBEsol-optimized structure of Ca2Mg2Zn.

Output
The offset from the most stable computed form is 0 kJ/mol of formula units. Its density of states at the Fermi level is 3.4 states/eV/f.u. For the total energy, the calculation gives -8.70 eV per atom. The formation energy comes out at -0.138 eV per atom.

extended XYZ file:
```
10
Lattice="-1.9409 -5.4187 3.0401 4.0387 -2.7889 4.2758 -2.3747 2.1775 6.8568" Properties=species:S:1:pos:R:3 pbc="T T T"
Mg -0.9579 -2.5733 5.9423
Ca 0.0185 -0.2778 3.7582
Ca -2.2577 0.3321 6.9616
Zn -2.1184 -3.0803 8.5141
Mg 0.4742 -5.1586 4.5139
Ca -0.2954 -5.7522 10.4145
Mg 0.6810 -3.4567 8.2304
Ca 1.9808 -6.3621 7.2111
Mg -0.7511 -0.8714 9.6588
Zn 1.8415 -2.9497 5.6586
```

***

What is the formula in the seventh record? CaV2P2H8O14